Record 1
! LiZnCuOs (PBE-GGA, optimized geometry); values from VASP
&SYSTEM
  ibrav = 0, nat = 16, ntyp = 4
/
ATOMIC_SPECIES
Li 6.94 Li.upf
Zn 65.41 Zn.upf
Cu 63.55 Cu.upf
Os 190.23 Os.upf
CELL_PARAMETERS angstrom
5.8910 0.0000 0.0000
0.0000 5.8910 0.0000
0.0000 0.0000 5.8910
ATOMIC_POSITIONS angstrom
Li 0.0000 0.0000 0.0000
Li 0.0000 2.9455 2.9455
Li 2.9455 0.0000 2.9455
Li 2.9455 2.9455 0.0000
Zn 0.0000 0.0000 2.9455
Zn 0.0000 2.9455 0.0000
Zn 2.9455 0.0000 0.0000
Zn 2.9455 2.9455 2.9455
Cu 1.4727 1.4727 4.4182
Cu 1.4727 4.4182 1.4727
Cu 4.4182 1.4727 1.4727
Cu 4.4182 4.4182 4.4182
Os 1.4727 1.4727 1.4727
Os 1.4727 4.4182 4.4182
Os 4.4182 1.4727 4.4182
Os 4.4182 4.4182 1.4727
! Magnetic moment   0.1 μB/f.u.
! Energy above the lowest structure with this stoichiometry   0 meV/atom


Record 2
! LiZnCuOs (PBE-GGA, optimized geometry); values from VASP
&SYSTEM
  ibrav = 0, nat = 16, ntyp = 4
/
ATOMIC_SPECIES
Li 6.94 Li.upf
Zn 65.41 Zn.upf
Cu 63.55 Cu.upf
Os 190.23 Os.upf
CELL_PARAMETERS angstrom
5.8897 0.0000 0.0000
0.0000 5.8897 0.0000
0.0000 0.0000 5.8897
ATOMIC_POSITIONS angstrom
Li 0.0000 0.0000 0.0000
Li 0.0000 2.9448 2.9448
Li 2.9448 0.0000 2.9448
Li 2.9448 2.9448 0.0000
Zn 1.4724 1.4724 1.4724
Zn 1.4724 4.4173 4.4173
Zn 4.4173 1.4724 4.4173
Zn 4.4173 4.4173 1.4724
Cu 0.0000 0.0000 2.9448
Cu 0.0000 2.9448 0.0000
Cu 2.9448 0.0000 0.0000
Cu 2.9448 2.9448 2.9448
Os 1.4724 1.4724 4.4173
Os 1.4724 4.4173 1.4724
Os 4.4173 1.4724 1.4724
Os 4.4173 4.4173 4.4173
! Magnetic moment   0.5 μB/f.u.
! Energy above the lowest structure with this stoichiometry   22 meV/atom


Record 3
Material: Li5Cu3P3
Method: DFT, PBE-GGA
State: optimized geometry Values from VASP.

Cell and atoms, written as Quantum ESPRESSO input:
```
&SYSTEM
  ibrav = 0, nat = 11, ntyp = 3
/
ATOMIC_SPECIES
Li 6.94 Li.upf
Cu 63.55 Cu.upf
P 30.97 P.upf
CELL_PARAMETERS angstrom
7.4609 0.0000 0.0000
-3.7305 6.4613 0.0000
0.0000 0.0000 3.8284
ATOMIC_POSITIONS angstrom
Li -2.6040 4.5102 0.0000
Li 1.1265 1.9512 0.0000
Li 0.0000 4.3076 0.0000
Li 3.7305 2.1538 0.0000
Li 5.2079 0.0000 0.0000
Cu -0.7543 1.3066 1.9142
Cu 1.5087 0.0000 1.9142
Cu 2.9761 5.1548 1.9142
P -1.3096 2.2683 0.0000
P 2.6192 0.0000 0.0000
P 2.4209 4.1931 0.0000
```


Number 1: uncorrected energy -66.9 eV/cell. Number 2: uncorrected energy -66.5 eV/cell. Number 3: uncorrected energy -40.0 eV/cell.